P | TaTiOF2 GGA-PBE optimized geometry; space-group type = P4/mmm (123); Fermi-level density of states = 0.83 states/eV per atom
1.0
4.119 0.000 0.000
0.000 4.119 0.000
0.000 0.000 3.954
F Ti O Ta
2 1 1 1
Direct
0.500 0.000 0.000
0.000 0.500 0.000
0.000 0.000 0.000
0.000 0.000 0.500
0.500 0.500 0.500



Q | TaTiOF2 GGA-PBE optimized geometry; space-group type = P4/mmm (123); Fermi-level density of states = 0.88 states/eV per atom
1.0
-3.799 -0.702 1.869
1.960 -0.546 3.779
-0.351 3.878 0.742
F Ta Ti O
2 1 1 1
Direct
0.500 0.000 0.000
0.000 0.500 0.000
0.000 0.000 0.000
0.500 0.500 0.500
0.000 0.000 0.500



Q: Which of them is the most stable? A: Q.



P | TaTlOF2 GGA-PBE optimized geometry; space-group type = P4/mmm (123); Fermi-level density of states = 1.74 states/eV per atom
1.0
4.520 0.000 0.000
0.000 4.520 0.000
0.000 0.000 4.330
F Ta Tl O
2 1 1 1
Direct
0.000 0.500 0.000
0.500 0.000 0.000
0.500 0.500 0.500
0.000 0.000 0.000
0.000 0.000 0.500



Q | TaTlOF2 GGA-PBE optimized geometry; space-group type = P4/mmm (123); Fermi-level density of states = 0.32 states/eV per atom
1.0
4.444 0.000 0.000
0.000 4.444 0.000
0.000 0.000 3.997
Tl O Ta F
1 1 1 2
Direct
0.500 0.500 0.500
0.000 0.000 0.500
0.000 0.000 0.000
0.000 0.500 0.000
0.500 0.000 0.000



Q: Which of them is the most stable? A: Q.



P | ZrTaOF2 GGA-PBE optimized geometry; space-group type = P4/mmm (123); Fermi-level density of states = 0.84 states/eV per atom
1.0
-2.744 0.775 3.254
0.261 -4.147 1.208
3.066 0.885 2.375
F O Zr Ta
2 1 1 1
Direct
0.500 0.000 0.000
0.000 0.500 0.000
0.000 0.000 0.500
0.500 0.500 0.500
0.000 0.000 0.000



Q | ZrTaOF2 GGA-PBE optimized geometry; space-group type = P4/mmm (123); Fermi-level density of states = 0.64 states/eV per atom
1.0
4.341 0.000 0.000
0.000 4.341 0.000
0.000 0.000 4.187
F Ta Zr O
2 1 1 1
Direct
0.500 0.000 0.000
0.000 0.500 0.000
0.500 0.500 0.500
0.000 0.000 0.000
0.000 0.000 0.500



Q: Which of them is the most stable? A: P.



P | TcOF2 GGA-PBE optimized geometry; space-group type = Fm-3m (225); Fermi-level density of states = 0.43 states/eV per atom
1.0
2.158 -2.542 1.971
-0.977 -3.748 0.042
2.166 -2.587 -1.902
F O Tc
2 1 1
Direct
0.250 0.250 0.250
0.750 0.750 0.750
0.000 0.000 0.000
0.500 0.500 0.500



Q | TcOF2 GGA-PBE optimized geometry; space-group type = Pnna (52); Fermi-level density of states = 0.06 states/eV per atom
1.0
5.078 -0.001 0.000
0.001 5.425 -0.001
-0.001 0.001 8.661
Tc F O
4 8 4
Direct
0.000 0.250 0.393
0.500 0.750 0.893
0.500 0.250 0.107
0.000 0.750 0.607
0.700 0.074 0.923
0.800 0.074 0.577
0.300 0.426 0.923
0.200 0.926 0.423
0.300 0.926 0.077
0.700 0.574 0.077
0.200 0.426 0.577
0.800 0.574 0.423
0.250 0.843 0.750
0.750 0.657 0.750
0.250 0.343 0.250
0.750 0.157 0.250



Q: Which of them is the most stable? A: Q.



P | TcOF2 GGA-PBE optimized geometry; space-group type = R-3m (166); Fermi-level density of states = 0.97 states/eV per atom
1.0
-7.390 -4.502 -3.087
-5.754 -6.611 -2.754
-7.189 -5.681 -0.677
Tc O F
1 1 2
Direct
0.000 0.000 0.000
0.500 0.500 0.500
0.069 0.069 0.069
0.931 0.931 0.931



Q | TcOF2 GGA-PBE optimized geometry; space-group type = I-42d (122); Fermi-level density of states = 0.69 states/eV per atom
1.0
-0.350 -0.915 -3.087
-1.785 -2.529 0.952
-7.366 2.519 -1.610
F Tc O
4 2 2
Direct
0.658 0.125 0.250
0.375 0.342 0.750
0.092 0.625 0.250
0.875 0.908 0.750
0.750 0.250 0.500
0.000 0.000 0.000
0.250 0.750 0.500
0.500 0.500 0.000



Q: Which of them is the most stable? A: Q.



P | TcO2F3 GGA-PBE optimized geometry; space-group type = C2/c (15); Fermi-level density of states = 0.00 states/eV per atom
1.0
5.579 -2.073 1.708
-2.333 5.475 1.708
0.075 0.079 8.457
F O Tc
6 4 2
Direct
0.168 0.289 0.024
0.711 0.832 0.476
0.415 0.585 0.250
0.832 0.711 0.976
0.289 0.168 0.524
0.585 0.415 0.750
0.107 0.461 0.729
0.461 0.107 0.229
0.539 0.893 0.771
0.893 0.539 0.271
0.414 0.586 0.750
0.586 0.414 0.250



Q | TcO2F3 GGA-PBE optimized geometry; space-group type = P-1 (2); Fermi-level density of states = 0.00 states/eV per atom
1.0
-0.957 -4.495 -6.672
8.080 -0.842 -1.339
0.392 -9.974 6.641
Tc O F
8 16 24
Direct
0.085 0.249 0.368
0.536 0.723 0.415
0.444 0.252 0.121
0.049 0.214 0.907
0.951 0.786 0.093
0.915 0.751 0.632
0.556 0.748 0.879
0.464 0.277 0.585
0.017 0.221 0.500
0.588 0.218 0.020
0.574 0.336 0.695
0.869 0.619 0.149
0.590 0.909 0.373
0.983 0.779 0.500
0.554 0.325 0.226
0.446 0.675 0.774
0.090 0.747 0.708
0.426 0.664 0.305
0.869 0.209 0.838
0.131 0.791 0.162
0.410 0.091 0.627
0.131 0.381 0.851
0.412 0.782 0.980
0.910 0.253 0.292
0.226 0.280 0.222
0.333 0.251 0.434
0.735 0.605 0.380
0.000 0.000 0.000
0.739 0.829 0.987
0.265 0.395 0.620
0.174 0.058 0.825
0.651 0.547 0.935
0.826 0.942 0.175
0.500 0.500 0.500
0.640 0.210 0.493
0.349 0.453 0.065
0.162 0.032 0.346
0.564 0.962 0.827
0.838 0.968 0.654
0.895 0.527 0.628
0.037 0.692 0.963
0.774 0.720 0.778
0.105 0.473 0.372
0.667 0.749 0.566
0.360 0.790 0.507
0.436 0.038 0.173
0.261 0.171 0.013
0.963 0.308 0.037



Q: Which of them is the most stable? A: Q.